First-principles (PBE) data for a relaxed structure of ZrAsP3, as listed in the Alexandria database.

Calculated values
Spin magnetization   0.00 μB per formula unit
Crystal system   cubic
ΔH_f (0 K)   0.574 eV/atom

Lattice parameters (Å, degrees): 4.6273 4.6273 4.6273 90.00 90.00 90.00
Space group Pm-3m (No. 221)
Asymmetric unit:
Zr: 0.0000 0.0000 0.0000 (multiplicity 1)
As: 0.5000 0.5000 0.5000 (multiplicity 1)
P: 0.0000 0.5000 0.5000 (multiplicity 3)